DFT (PBEsol) results for Cd2Cu2Hg after structural relaxation.

Computed properties:
magnetic moment: 0.0 μB per formula unit
energy relative to the elements: 56 meV/atom

Unit cell a=7.0311 b=7.0311 c=3.4067 alpha=90.00 beta=90.00 gamma=90.00
Space group P4/mbm (No. 127)
Asymmetric unit:
1 Cd 0.1630 0.3370 0.0000 (multiplicity 4)
2 Cu 0.1307 0.6307 0.5000 (multiplicity 4)
3 Hg 0.0000 0.0000 0.5000 (multiplicity 2)


DFT (PBEsol) results for MgTcSb after structural relaxation.

Computed properties:
magnetic moment: 0.0 μB per formula unit
distance to the lowest polymorph of the same formula: 0.0 kJ per mole of atoms
energy relative to the elements, uncorrected: -0.11 eV per atom

Unit cell a=3.3905 b=3.3905 c=9.0190 alpha=90.00 beta=90.00 gamma=90.00
Space group I4mm (No. 107)
Asymmetric unit:
1 Mg 0.0000 0.0000 0.0000 (multiplicity 2)
2 Tc 0.0000 0.0000 0.6694 (multiplicity 2)
3 Sb 0.0000 0.0000 0.3146 (multiplicity 2)


DFT (PBEsol) results for TaO2 after structural relaxation.

Computed properties:
magnetic moment: 0.0 μB per formula unit
energy relative to the elements, uncorrected: -2.62 eV per atom

Unit cell a=13.6276 b=13.6276 c=5.9932 alpha=90.00 beta=90.00 gamma=90.00
Space group I4_1/a (No. 88, origin choice 2)
Asymmetric unit:
1 Ta 0.1123 0.1201 0.4751 (multiplicity 16)
2 Ta 0.1235 0.3798 0.2251 (multiplicity 16)
3 O 0.0141 0.3709 0.9743 (multiplicity 16)
4 O 0.0302 0.3784 0.5119 (multiplicity 16)
5 O 0.1239 0.0238 0.7526 (multiplicity 16)
6 O 0.1270 0.0115 0.2486 (multiplicity 16)


DFT (PBEsol) results for BaSr2Ca after structural relaxation.

Computed properties:
magnetic moment: 0.0 μB per formula unit
distance to the lowest polymorph of the same formula: 0.3 kJ per mole of atoms
energy relative to the elements: 17 meV/atom

Unit cell a=4.7168 b=4.7168 c=9.0365 alpha=90.00 beta=90.00 gamma=90.00
Space group P4mm (No. 99)
Asymmetric unit:
1 Ba 0.0000 0.0000 0.0000 (multiplicity 1)
2 Sr 0.0000 0.0000 0.4778 (multiplicity 1)
3 Sr 0.5000 0.5000 0.7320 (multiplicity 1)
4 Ca 0.5000 0.5000 0.2459 (multiplicity 1)


DFT (PBEsol) results for CaAuS2Cl after structural relaxation.

Computed properties:
magnetic moment: 0.0 μB per formula unit
energy relative to the elements, uncorrected: -0.59 eV per atom

Unit cell a=4.8446 b=4.8446 c=4.8034 alpha=90.00 beta=90.00 gamma=90.00
Space group P4/mmm (No. 123)
Asymmetric unit:
1 Ca 0.0000 0.0000 0.0000 (multiplicity 1)
2 Au 0.5000 0.5000 0.5000 (multiplicity 1)
3 S 0.0000 0.5000 0.5000 (multiplicity 2)
4 Cl 0.5000 0.5000 0.0000 (multiplicity 1)


DFT (PBEsol) results for K2BaRe after structural relaxation.

Computed properties:
magnetic moment: 2.6 μB per formula unit
energy relative to the elements: 1585 meV/atom

Unit cell a=8.2345 b=8.2345 c=8.2345 alpha=90.00 beta=90.00 gamma=90.00
Space group Fm-3m (No. 225)
Asymmetric unit:
1 K 0.2500 0.2500 0.2500 (multiplicity 8)
2 Ba 0.0000 0.0000 0.0000 (multiplicity 4)
3 Re 0.0000 0.0000 0.5000 (multiplicity 4)


Which ρ belongs to each record? In order, 10.9, 7.8, 10.2, 2.9, 5.0, 4.8 g cm⁻³.